Below is a relaxed AcSm7Er12 crystal, with properties calculated at the PBE level.

Cell and atoms, written as POSCAR:
```
AcSm7Er12
1.0
-8.845 -3.381 2.374
3.406 -4.928 -7.708
6.069 -1.176 7.555
Ac Sm Er
1 7 12
Cartesian
0.000 0.000 0.000 Ac
-2.719 -4.154 -2.667 Sm
4.738 -3.052 -0.076 Sm
-1.388 -2.279 4.965 Sm
0.315 -4.742 1.111 Sm
3.035 -0.588 3.778 Sm
-4.422 -1.691 1.187 Sm
1.703 -2.464 -3.854 Sm
2.736 -6.187 1.044 Er
-4.755 -7.347 -1.421 Er
-2.106 -3.298 1.177 Er
5.386 -2.138 3.643 Er
-5.022 -2.817 3.702 Er
-0.405 -5.791 3.628 Er
5.652 -6.668 -1.481 Er
1.036 -3.694 -1.406 Er
-1.086 -6.752 -0.285 Er
1.717 -2.733 2.507 Er
0.364 -4.953 7.344 Er
0.266 -4.532 -5.123 Er
```

Properties
* size of the total moment: 0.0000 μB per atom
* DFT total energy: -3.951 eV per atom
* energy relative to the elements: 0.643 eV/atom

Below is a relaxed AcSm6Er2 crystal, with properties calculated at the PBE level.

Cell and atoms, written as POSCAR:
```
AcSm6Er2
1.0
-2.722 -1.475 -1.942
1.853 -2.046 2.395
-17.506 6.814 19.364
Ac Sm Er
1 6 2
Cartesian
0.328 -1.856 0.949 Ac
-16.644 4.348 16.590 Sm
-7.277 1.104 9.361 Sm
-13.232 3.422 15.948 Sm
-3.619 -0.320 5.315 Sm
-9.574 1.998 11.902 Sm
-3.256 -0.864 1.781 Sm
-7.010 0.597 5.933 Er
-12.891 2.887 12.439 Er
```

Properties
* size of the total moment: 0.0000 μB per atom
* DFT total energy: -4.547 eV per atom
* energy relative to the elements: 0.070 eV/atom